VASP calculation (GGA-PBE) on Li2NiHg after structural relaxation.

Structure (POSCAR):
```
Li2NiHg
1.0
9.2107 0.0000 0.0000
0.0000 2.9765 0.0000
-1.1931 0.0000 4.4382
Li Ni Hg
4 2 2
Direct
0.0000 0.0000 0.0000
0.2342 0.0000 0.7470
0.5000 0.5000 0.0000
0.7342 0.5000 0.7470
0.0021 0.5000 0.5015
0.5021 0.0000 0.5015
0.2552 0.5000 0.2689
0.7552 0.0000 0.2689
```

## Properties
**Magnetic moment**: 0.00 μB per atom
**SG**: Cm (8)
**Formation energy from the elements**: -0.063 eV per atom
**Total DFT energy (no corrections)**: -10.16 eV/f.u.